Material: Ba3NbPd
Method: DFT, PBE
State: relaxed

Computed properties:
Its formation energy is 0.542 eV/atom. As for the magnetic moment: 4.53 μB per formula unit.

Unit cell a=6.120 b=6.120 c=6.120 alpha=90.00 beta=90.00 gamma=90.00
Fractional positions:
Pd  0.000  0.000  0.000
Nb  0.500  0.500  0.500
Ba  0.500  0.000  0.000
Ba  0.000  0.500  0.000
Ba  0.000  0.000  0.500